(1)
Entry from Alexandria via LeMat-Bulk: NbCrI2O at its PBEsol-relaxed geometry (meta-GGA SCAN).

Lattice parameters (Å, degrees): 5.6308 5.6308 3.8809 90.00 90.00 90.00
Closest atoms and distances in Å follow each position.
Space group P4/mmm (No. 123)
Inequivalent atoms, fractional coordinates:
Nb1 0.0000 0.0000 0.0000 x1  2 O 1.94
Cr1 0.5000 0.5000 0.5000 x1  8 I 3.42
I1 0.0000 0.5000 0.0000 x2  2 Nb 2.82
O1 0.0000 0.0000 0.5000 x1  2 Nb 1.94

volume: 24.6 A^3/atom
DOS(E_F): 0.412 states/eV/atom
total moment: 6.6 μB/f.u.
raw formation energy: -0.488 eV/atom



(2)
Entry from Alexandria via LeMat-Bulk: KZrNi3 at its PBEsol-relaxed geometry (meta-GGA SCAN).

Lattice parameters (Å, degrees): 4.4046 4.4046 4.4046 90.00 90.00 90.00
Closest atoms and distances in Å follow each position.
Space group Pm-3m (No. 221)
Inequivalent atoms, fractional coordinates:
K1 0.0000 0.0000 0.0000 x1  6 Ni 2.20
Zr1 0.5000 0.5000 0.5000 x1  12 Ni 3.11
Ni1 0.0000 0.0000 0.5000 x3  2 K 2.20

energy of formation: 1.833 eV per atom
volume: 17.1 A^3/atom
DOS(E_F): 1.198 states/eV/atom
total moment: 0.0 μB/f.u.